Entry from Alexandria: Nd8ZnCu2 after structural relaxation (PBE).

Summary:
**D(E_F)**: 21.69 states/eV/cell
**Density**: 7.0 g cm⁻³
**Energy relative to the lowest polymorph listed for this composition**: 0 meV/atom
**Formation enthalpy at 0 K**: -0.085 eV/atom

Unit cell a=18.2448 b=5.2296 c=7.0281 alpha=90.00 beta=107.87 gamma=90.00
Space group C2/m (No. 12)
Symmetry-distinct sites (fractional):
Nd  0.0306  0.0000  0.2794
Nd  0.0916  0.5000  0.9666
Nd  0.1729  0.5000  0.4909
Nd  0.1961  0.0000  0.8336
Zn  0.0000  0.5000  0.5000
Cu  0.1795  0.0000  0.2259